VASP calculation (PBE-GGA) on crystalline Ac2AgOsO8 at its relaxed geometry.

It has space group P-1 (No. 2), with a = 4.4039 Å, b = 5.5226 Å, c = 7.3559 Å, α = 83.51°, β = 86.49° and γ = 83.93°. The asymmetric unit holds Ac at (0.1920, 0.0122, 0.2398), Ag at (0.5000, 0.5000, 0.0000), Os at (0.5000, 0.5000, 0.5000), O at (0.2057, 0.7517, 0.5555), O at (0.2783, 0.8455, 0.9389), O at (0.2853, 0.2591, 0.6324) and O at (0.2969, 0.4742, 0.2757).

The formation energy (no corrections) is -1.8227 eV/atom.